Below is an optimized crystal structure of NaTl2HgRh, with properties calculated at the PBE level.

Cell lengths 5.258, 5.258, 5.371 Å; angles 90.00, 90.00, 90.00 degrees
Sites, in units of the cell vectors:
Hg: 0.000 0.000 0.500
Tl: 0.500 0.000 0.000
Tl: 0.000 0.500 0.000
Rh: 0.000 0.000 0.000
Na: 0.500 0.500 0.500

Results
N(E_F) = 0.567 states/eV/atom
formation energy from the elements = -26 meV per atom
calculated volume = 148.5 Å³/cell


Below is an optimized crystal structure of SrBe2Se, with properties calculated at the PBE level.

Cell lengths 3.364, 3.365, 6.682 Å; angles 90.00, 90.00, 90.00 degrees
Sites, in units of the cell vectors:
Sr: 0.500 0.500 0.750
Se: 0.500 0.500 0.250
Be: 0.000 0.000 0.414
Be: 0.000 0.000 0.086

Results
N(E_F) = 0.544 states/eV/atom
calculated volume = 75.6 Å³/cell
formation energy without anion corrections = 237 meV per atom


Below is an optimized crystal structure of K3NdNp2Te6, with properties calculated at the PBE level.

Cell lengths 7.940, 7.940, 8.645 Å; angles 98.81, 98.81, 120.00 degrees
Sites, in units of the cell vectors:
K: 0.165 0.835 0.500
K: 0.835 0.165 0.500
K: 0.500 0.500 0.500
Nd: 0.000 0.000 0.000
Np: 0.667 0.333 0.000
Np: 0.333 0.667 0.000
Te: 0.591 0.929 0.788
Te: 0.733 0.733 0.211
Te: 0.071 0.409 0.212
Te: 0.929 0.591 0.788
Te: 0.267 0.267 0.789
Te: 0.409 0.071 0.212

Results
N(E_F) = 1.535 states/eV/atom
calculated volume = 449.3 Å³/cell
formation energy without anion corrections = -1062 meV per atom


> Which value of calculated volume does entry 1 give?

148.5 Å³/cell